# 1
Below is a relaxed structure of K3HgBr5, with properties calculated at the PBE level.

## Properties
Size of the total moment (μB per cell): 0.26
Total DFT energy (no corrections) (eV/cell): -46.99
D(E_F) (states/eV/f.u.): 0.00
Symmetry: I4/mcm
Formation energy from raw total energies (eV per formula unit): -11.53

```
K3HgBr5
1.0
-4.470 4.470 8.096
4.470 -4.470 8.096
4.470 4.470 -8.096
K Hg Br
6 2 10
Cartesian
5.882 1.412 0.000
0.000 0.000 4.048
1.412 3.058 0.000
3.058 1.412 8.096
0.000 0.000 12.143
-1.412 3.058 8.096
4.470 0.000 4.048
0.000 4.470 4.048
0.000 0.000 0.000
3.038 1.432 -2.336
3.038 -1.432 5.760
3.038 1.432 2.336
3.038 -1.432 10.431
0.000 0.000 8.096
1.432 5.902 -2.336
1.432 3.038 5.760
1.432 5.902 2.336
1.432 3.038 10.431
```



# 2
Below is a relaxed structure of KHg3Br7, with properties calculated at the PBE level.

## Properties
Size of the total moment (μB per cell): 0.00
Total DFT energy (no corrections) (eV/cell): -20.95
D(E_F) (states/eV/f.u.): 0.00
Symmetry: C2/m
Formation energy from raw total energies (eV per formula unit): -7.24

```
KHg3Br7
1.0
4.992 -5.987 0.000
4.992 5.987 0.000
-0.821 0.000 6.765
K Hg Br
1 3 7
Cartesian
0.000 0.000 0.000
4.581 2.994 3.383
4.992 0.000 0.000
4.581 -2.994 3.383
-0.411 0.000 3.383
2.937 2.671 5.233
3.119 0.000 1.633
6.225 2.671 1.532
2.937 -2.671 5.233
6.044 0.000 5.132
6.225 -2.671 1.532
```